Record 1
The following is a DFT calculation (PBE) of crystalline NbCu3 at its relaxed geometry.

The structure belongs to space group Pmm2 (No. 25); the cell edges are 2.579, 4.333 and 4.964 Å and the angles 90.00°, 90.00° and 90.00°. The distinct sites, in fractional coordinates, are Nb at (0.000, 0.000, 0.000), Cu at (0.000, 0.500, 0.669), Cu at (0.500, 0.000, 0.503) and Cu at (0.500, 0.500, 0.212).

As for the crystal system: orthorhombic.

---

Record 2
The following is a DFT calculation (PBE) of crystalline Nb3Cu at its relaxed geometry.

The structure belongs to space group I4/mmm (No. 139); the cell edges are 4.048, 4.048 and 8.307 Å and the angles 90.00°, 90.00° and 90.00°. The distinct sites, in fractional coordinates, are Nb at (0.000, 0.000, 0.000), Nb at (0.000, 0.500, 0.250) and Cu at (0.000, 0.000, 0.500).

As for the crystal system: tetragonal.

---

Record 3
The following is a DFT calculation (PBE) of crystalline Nb2Cu at its relaxed geometry.

The structure belongs to space group P4/nmm (No. 129, origin choice 2); the cell edges are 3.290, 3.290 and 9.115 Å and the angles 90.00°, 90.00° and 90.00°. The distinct sites, in fractional coordinates, are Nb at (0.250, 0.250, 0.089), Nb at (0.250, 0.250, 0.728) and Cu at (0.250, 0.250, 0.431).

As for the crystal system: tetragonal.

---

Record 4
The following is a DFT calculation (PBE) of crystalline Nb3Cu at its relaxed geometry.

The structure belongs to space group P4/nmm (No. 129, origin choice 2); the cell edges are 3.310, 3.310 and 12.353 Å and the angles 90.00°, 90.00° and 90.00°. The distinct sites, in fractional coordinates, are Nb at (0.250, 0.250, 0.070), Nb at (0.250, 0.250, 0.331), Nb at (0.250, 0.250, 0.798) and Cu at (0.250, 0.250, 0.550).

As for the crystal system: tetragonal.

---

Record 5
The following is a DFT calculation (PBE) of crystalline Nb5Cu at its relaxed geometry.

The structure belongs to space group Cmmm (No. 65); the cell edges are 4.561, 13.528 and 3.381 Å and the angles 90.00°, 90.00° and 90.00°. The distinct sites, in fractional coordinates, are Nb at (0.000, 0.000, 0.000), Nb at (0.000, 0.162, 0.500), Nb at (0.000, 0.335, 0.000) and Cu at (0.000, 0.500, 0.500).

As for the crystal system: orthorhombic.

---

Record 6
The following is a DFT calculation (PBE) of crystalline Nd2NbCu3Ni12 at its relaxed geometry.

The structure belongs to space group R-3m (No. 166, hexagonal axes); the cell edges are 6.0811, 6.0811 and 25.5606 Å and the angles 90.00°, 90.00° and 120.00°. The distinct sites, in fractional coordinates, are Nd at (0.0000, 0.0000, 0.1499), Nb at (0.0000, 0.0000, 0.5000), Cu at (0.0000, 0.5000, 0.0000), Ni at (0.0413, 0.5207, 0.0947) and Ni at (0.0760, 0.5380, 0.6180).

As for the crystal system: trigonal.

---

VASP energy values (in eV/atom) by entry order: -5.424, -8.423, -8.043, -8.567, -9.026, -5.389.
Total moment values (in Bohr magnetons per cell) by entry order: 0.0, 0.0, 0.0, 0.0, 0.0, 0.0.
Calculated formation energy values (in eV/atom) by entry order: 0.166, 0.154, 0.036, 0.009, 0.048, 0.237.